(1)
# PBE ZrRh2O6, relaxed
data_ZrRh2O6
_chemical_formula_sum 'Zr1 Rh2 O6'
_symmetry_space_group_name_H-M 'P 1'
_symmetry_Int_Tables_number 1
_cell_length_a 5.1114
_cell_length_b 5.1114
_cell_length_c 4.6568
_cell_angle_alpha 90.00
_cell_angle_beta 90.00
_cell_angle_gamma 120.00
loop_
_symmetry_equiv_pos_as_xyz
'x,y,z'
loop_
_atom_site_label
_atom_site_fract_x
_atom_site_fract_y
_atom_site_fract_z
Zr1 0.0000 0.0000 0.0000
Rh1 0.3333 0.6667 0.5000
Rh2 0.6667 0.3333 0.5000
O1 0.0000 0.3430 0.2616
O2 0.0000 0.6570 0.7384
O3 0.3430 0.0000 0.2616
O4 0.3430 0.3430 0.7384
O5 0.6570 0.0000 0.7384
O6 0.6570 0.6570 0.2616
# Total magnetization ... 0.17 μB/atom
# Formation energy (no corrections) ... -1479 meV per atom
# DFT total energy ... -66.31 eV for the cell shown


(2)
# PBE ZrRhO3, relaxed
data_ZrRhO3
_chemical_formula_sum 'Zr1 Rh1 O3'
_symmetry_space_group_name_H-M 'P 1'
_symmetry_Int_Tables_number 1
_cell_length_a 4.1070
_cell_length_b 4.1070
_cell_length_c 4.1070
_cell_angle_alpha 90.00
_cell_angle_beta 90.00
_cell_angle_gamma 90.00
loop_
_symmetry_equiv_pos_as_xyz
'x,y,z'
loop_
_atom_site_label
_atom_site_fract_x
_atom_site_fract_y
_atom_site_fract_z
Zr1 0.0000 0.0000 0.0000
Rh1 0.5000 0.5000 0.5000
O1 0.0000 0.0000 0.5000
O2 0.0000 0.5000 0.0000
O3 0.5000 0.0000 0.0000
# Total magnetization ... 0.60 μB/atom
# Formation energy (no corrections) ... -1338 meV per atom
# DFT total energy ... -37.46 eV for the cell shown


(3)
# PBE ZrRhO2, relaxed
data_ZrRhO2
_chemical_formula_sum 'Zr1 Rh1 O2'
_symmetry_space_group_name_H-M 'P 1'
_symmetry_Int_Tables_number 1
_cell_length_a 4.0094
_cell_length_b 4.0094
_cell_length_c 4.0094
_cell_angle_alpha 60.00
_cell_angle_beta 60.00
_cell_angle_gamma 60.00
loop_
_symmetry_equiv_pos_as_xyz
'x,y,z'
loop_
_atom_site_label
_atom_site_fract_x
_atom_site_fract_y
_atom_site_fract_z
Zr1 0.0000 0.0000 0.0000
Rh1 0.5000 0.5000 0.5000
O1 0.2500 0.2500 0.2500
O2 0.7500 0.7500 0.7500
# Total magnetization ... 0.25 μB/atom
# Formation energy (no corrections) ... -1213 meV per atom
# DFT total energy ... -30.67 eV for the cell shown
# Energy relative to the lowest polymorph listed for this composition ... 621.0 meV/atom


- Look up the formation energy (no corrections) of the third one.
  -1213 meV per atom


- formation energy (no corrections) of number 3 (ZrRhO2)?
  -1213 meV per atom